# 1
DFT (SCAN) results for LaCrTc2 at its PBEsol-relaxed geometry.

Unit cell a=3.0795 b=4.7077 c=8.9477 alpha=90.00 beta=90.00 gamma=90.00
With the nearest neighbours (Å) after each atom.
Space group Cmmm (No. 65)
One atom of each set of equivalent atoms:
La (0.0000, 0.0000, 0.0000)  6 La 2.81-3.08, 4 Tc 3.03
Cr (0.0000, 0.0000, 0.5000)  4 Tc 2.41
Tc (0.0000, 0.5000, 0.2922)  2 Cr 2.41

Summary:
energy: -32.42 eV/atom
calculated volume: 16.22 Å³/atom

***

# 2
DFT (SCAN) results for GePtI3 at its PBEsol-relaxed geometry.

Unit cell a=5.4817 b=5.4817 c=5.4817 alpha=90.00 beta=90.00 gamma=90.00
With the nearest neighbours (Å) after each atom.
Space group Pm-3m (No. 221)
One atom of each set of equivalent atoms:
Ge (0.0000, 0.0000, 0.0000)  6 I 2.74
Pt (0.5000, 0.5000, 0.5000)  12 I 3.88
I (0.0000, 0.0000, 0.5000)  2 Ge 2.74

Summary:
uncorrected formation energy: 0.95 eV/atom
energy: -38.95 eV/atom
calculated volume: 32.94 Å³/atom

***

# 3
DFT (SCAN) results for MnMoIr2 at its PBEsol-relaxed geometry.

Unit cell a=3.7760 b=3.7760 c=7.6294 alpha=90.00 beta=90.00 gamma=90.00
With the nearest neighbours (Å) after each atom.
Space group I-4m2 (No. 119)
One atom of each set of equivalent atoms:
Mn (0.0000, 0.0000, 0.0000)  8 Ir 2.67-2.68, 4 Mo 2.68
Mo (0.0000, 0.5000, 0.2500)  8 Ir 2.67-2.68, 4 Mn 2.68
Ir (0.0000, 0.0000, 0.5000)  4 Mn 2.67, 4 Mo 2.68, 4 Ir 2.68
Ir (0.0000, 0.5000, 0.7500)  4 Mo 2.67, 4 Mn 2.68, 4 Ir 2.68

Summary:
energy: -49.14 eV/atom
calculated volume: 13.60 Å³/atom
distance to the lowest polymorph of the same formula: 34 kJ/mol of formula units

***

# 4
DFT (SCAN) results for Li2CuSiO4 at its PBEsol-relaxed geometry.

Unit cell a=6.1874 b=4.9801 c=10.6006 alpha=90.00 beta=93.69 gamma=90.00
With the nearest neighbours (Å) after each atom.
Space group P2_1/c (No. 14)
One atom of each set of equivalent atoms:
Li (0.0105, 0.2000, 0.4158)  4 O 1.94-2.01
Li (0.2518, 0.7129, 0.3302)  4 O 1.90-2.07
Cu (0.4825, 0.7488, 0.5746)  3 O 1.87-1.95
Si (0.2367, 0.2088, 0.1691)  4 O 1.61-1.67
O (0.0116, 0.1934, 0.5988)  1 Si 1.61
O (0.2542, 0.6237, 0.6662)  1 Si 1.66
O (0.2574, 0.1796, 0.8159)  1 Si 1.65
O (0.4452, 0.1752, 0.5926)  1 Si 1.67

Summary:
uncorrected formation energy: -2.22 eV/atom
energy: -9.08 eV/atom
calculated volume: 10.19 Å³/atom
distance to the lowest polymorph of the same formula: 19 kJ/mol of formula units

***

# 5
DFT (SCAN) results for V7Cu2S12 at its PBEsol-relaxed geometry.

Unit cell a=6.5683 b=6.5940 c=7.8466 alpha=72.42 beta=89.99 gamma=72.97
With the nearest neighbours (Å) after each atom.
Space group P-1 (No. 2)
One atom of each set of equivalent atoms:
V (0.0000, 0.0000, 0.0000)  6 S 2.34-2.40
V (0.0512, 0.6399, 0.8452)  6 S 2.29-2.45
V (0.2844, 0.0266, 0.4877)  6 S 2.28-2.47
V (0.3854, 0.3073, 0.1812)  6 S 2.29-2.46
Cu (0.3302, 0.6706, 0.3312)  6 S 2.35-2.45
S (0.0062, 0.9700, 0.3127)  4 V 2.40-2.47, 1 Cu 2.41
S (0.1427, 0.4072, 0.3750)  3 V 2.29-2.30, 1 Cu 2.35
S (0.1913, 0.2566, 0.9611)  4 V 2.30-2.34
S (0.3203, 0.7013, 0.0132)  4 V 2.40-2.46, 1 Cu 2.44
S (0.3420, 0.6347, 0.6498)  3 V 2.41-2.45, 2 Cu 2.44-2.45
S (0.4750, 0.0732, 0.7079)  3 V 2.28-2.30, 1 Cu 2.35

Summary:
uncorrected formation energy: -0.97 eV/atom
energy: -13.75 eV/atom
calculated volume: 14.68 Å³/atom

***

# 6
DFT (SCAN) results for Zr3SiP at its PBEsol-relaxed geometry.

Unit cell a=4.7593 b=4.7593 c=4.7593 alpha=90.00 beta=90.00 gamma=90.00
With the nearest neighbours (Å) after each atom.
Space group Pm-3m (No. 221)
One atom of each set of equivalent atoms:
Zr (0.0000, 0.0000, 0.5000)  2 P 2.38
Si (0.5000, 0.5000, 0.5000)  12 Zr 3.37
P (0.0000, 0.0000, 0.0000)  6 Zr 2.38

Summary:
uncorrected formation energy: -0.20 eV/atom
energy: -22.70 eV/atom
calculated volume: 21.56 Å³/atom

***

Copy entry 5 word for word.
DFT (SCAN) results for V7Cu2S12 at its PBEsol-relaxed geometry.

Unit cell a=6.5683 b=6.5940 c=7.8466 alpha=72.42 beta=89.99 gamma=72.97
With the nearest neighbours (Å) after each atom.
Space group P-1 (No. 2)
One atom of each set of equivalent atoms:
V (0.0000, 0.0000, 0.0000)  6 S 2.34-2.40
V (0.0512, 0.6399, 0.8452)  6 S 2.29-2.45
V (0.2844, 0.0266, 0.4877)  6 S 2.28-2.47
V (0.3854, 0.3073, 0.1812)  6 S 2.29-2.46
Cu (0.3302, 0.6706, 0.3312)  6 S 2.35-2.45
S (0.0062, 0.9700, 0.3127)  4 V 2.40-2.47, 1 Cu 2.41
S (0.1427, 0.4072, 0.3750)  3 V 2.29-2.30, 1 Cu 2.35
S (0.1913, 0.2566, 0.9611)  4 V 2.30-2.34
S (0.3203, 0.7013, 0.0132)  4 V 2.40-2.46, 1 Cu 2.44
S (0.3420, 0.6347, 0.6498)  3 V 2.41-2.45, 2 Cu 2.44-2.45
S (0.4750, 0.0732, 0.7079)  3 V 2.28-2.30, 1 Cu 2.35

Summary:
uncorrected formation energy: -0.97 eV/atom
energy: -13.75 eV/atom
calculated volume: 14.68 Å³/atom

***

Q: Among the records above, which one has the highest calculated volume?
A: GePtI3

***

Q: What is the calculated volume in the second record?
A: 32.94 Å³/atom

***

Q: The highest calculated volume belongs to which entry?
A: GePtI3